(1)
PaFe5B2 | PBE-GGA | optimized geometry

**SG**: Immm, No. 71
**Energy of formation**: -0.280 eV per atom
**Uncorrected energy**: -8.425 eV/atom
**Fermi-level density of states**: 6.59 states/eV/cell
**Size of the total moment**: 8.13 μB per formula unit

Unit cell a=3.1441 b=5.7485 c=5.7485 alpha=69.96 beta=74.13 gamma=74.13
Closest atoms and distances in Å follow each position.
Positions (direct):
Fe: 0.0000 0.5000 0.5000  2 B 2.16
Fe: 0.6582 0.1507 0.5330  3 B 2.15-2.21, 2 Fe 2.39
Fe: 0.3418 0.4670 0.8493  3 B 2.15-2.21, 2 Fe 2.39
Fe: 0.6582 0.5330 0.1507  3 B 2.15-2.21, 2 Fe 2.39
B: 0.2436 0.2564 0.2564  7 Fe 2.15-2.21
Pa: 0.0000 0.0000 0.0000  4 B 2.77, 8 Fe 2.93
Fe: 0.3418 0.8493 0.4670  3 B 2.15-2.21, 2 Fe 2.39
B: 0.7564 0.7436 0.7436  7 Fe 2.15-2.21

(2)
SrLiSi2 | PBE-GGA | optimized geometry

**SG**: Cmmm, No. 65
**Relative energy among the computed polymorphs**: 0.4905 eV per atom
**Uncorrected energy**: -3.534 eV/atom
**Fermi-level density of states**: 1.18 states/eV/cell
**ΔE_f (raw)**: 0.077 eV per atom
**Size of the total moment**: 0.00 μB per formula unit

Unit cell a=5.5114 b=5.5114 c=2.9916 alpha=90.00 beta=90.00 gamma=113.76
Closest atoms and distances in Å follow each position.
Positions (direct):
Li: 0.0000 0.5000 0.5000  2 Li 2.99, 2 Sr 3.01, 8 Si 3.14
Si: 0.5000 0.5000 0.0000  4 Si 2.99-3.01, 4 Sr 3.14, 4 Li 3.14
Sr: 0.5000 0.0000 0.5000  2 Sr 2.99, 2 Li 3.01, 8 Si 3.14
Si: 0.0000 0.0000 0.0000  4 Si 2.99-3.01, 4 Li 3.14, 4 Sr 3.14

(3)
PmZnN | PBE-GGA | optimized geometry

**SG**: I4mm, No. 107
**Relative energy among the computed polymorphs**: 0.9688 eV per atom
**Uncorrected energy**: -4.690 eV/atom
**Fermi-level density of states**: 0.93 states/eV/cell
**ΔE_f (raw)**: 0.093 eV per atom
**Size of the total moment**: 0.00 μB per formula unit

Unit cell a=4.1208 b=4.1208 c=4.5810 alpha=116.73 beta=116.73 gamma=90.00
Closest atoms and distances in Å follow each position.
Positions (direct):
N: 0.2650 0.2650 0.5300  1 Zn 1.89
Pm: 0.5878 0.5878 0.1755  1 N 2.28
Zn: 0.9972 0.9972 0.9945  1 N 1.89

(4)
Zr2TaP | PBE-GGA | optimized geometry

**SG**: I-42d, No. 122
**Energy of formation**: -0.062 eV per atom
**Uncorrected energy**: -8.652 eV/atom
**Fermi-level density of states**: 1.40 states/eV/cell
**Size of the total moment**: 0.02 μB per formula unit

Unit cell a=8.0363 b=8.0363 c=6.2190 alpha=49.75 beta=49.75 gamma=90.00
Closest atoms and distances in Å follow each position.
Positions (direct):
Zr: 0.3750 0.4403 0.7500  2 P 2.58, 2 Zr 2.74
P: 0.5000 0.5000 0.0000  2 Ta 2.53, 4 Zr 2.58
Ta: 0.7500 0.2500 0.5000  2 P 2.53
P: 0.2500 0.7500 0.5000  2 Ta 2.53, 4 Zr 2.58
Zr: 0.5597 0.1250 0.2500  2 P 2.58, 2 Zr 2.74
Ta: 0.0000 0.0000 0.0000  2 P 2.53
Zr: 0.8750 0.8097 0.7500  2 P 2.58, 2 Zr 2.74
Zr: 0.1903 0.6250 0.2500  2 P 2.58, 2 Zr 2.74

(5)
CeNdTl2 | PBE-GGA | optimized geometry

**SG**: Cmmm, No. 65
**Energy of formation**: -0.311 eV per atom
**Uncorrected energy**: -4.170 eV/atom
**Fermi-level density of states**: 7.32 states/eV/cell
**Size of the total moment**: 1.48 μB per formula unit

Unit cell a=3.6641 b=5.7448 c=5.7448 alpha=104.93 beta=90.01 gamma=90.01
Closest atoms and distances in Å follow each position.
Positions (direct):
Tl: 0.0000 0.0000 0.5000  4 Ce 3.41, 4 Nd 3.41, 4 Tl 3.50-3.66
Tl: 0.0000 0.5000 0.0000  4 Nd 3.41, 4 Ce 3.41, 4 Tl 3.50-3.66
Ce: 0.5000 0.0000 0.0000  8 Tl 3.41, 2 Nd 3.50, 2 Ce 3.66
Nd: 0.5000 0.5000 0.5000  8 Tl 3.41, 2 Ce 3.50, 2 Nd 3.66

(6)
CsYGaN2 | PBE-GGA | optimized geometry

**SG**: P4/mmm, No. 123
**Uncorrected energy**: -3.949 eV/atom
**Fermi-level density of states**: 5.33 states/eV/cell
**ΔE_f (raw)**: 1.450 eV per atom
**Size of the total moment**: 0.00 μB per formula unit

Unit cell a=4.3980 b=5.1862 c=4.3980 alpha=90.00 beta=90.00 gamma=90.00
Closest atoms and distances in Å follow each position.
Positions (direct):
N: 0.0000 0.0000 0.5000  2 Ga 2.20
Y: 0.0000 0.5000 0.0000  2 Ga 2.59
Ga: 0.0000 0.0000 0.0000  4 N 2.20
N: 0.5000 0.0000 0.0000  2 Ga 2.20
Cs: 0.5000 0.5000 0.5000  4 Y 3.11, 8 N 3.40

(7)
KNaSnBr2 | PBE-GGA | optimized geometry

**SG**: P4/mmm, No. 123
**Uncorrected energy**: -2.227 eV/atom
**Fermi-level density of states**: 2.24 states/eV/cell
**ΔE_f (raw)**: -0.274 eV per atom
**Size of the total moment**: 1.80 μB per formula unit

Unit cell a=5.9048 b=6.1283 c=5.9048 alpha=90.00 beta=90.00 gamma=90.00
Closest atoms and distances in Å follow each position.
Positions (direct):
Br: 0.5000 0.0000 0.0000  2 K 2.95
Sn: 0.5000 0.5000 0.5000  4 Na 4.18, 8 Br 4.26
K: 0.0000 0.0000 0.0000  4 Br 2.95, 2 Na 3.06
Na: 0.0000 0.5000 0.0000  2 K 3.06
Br: 0.0000 0.0000 0.5000  2 K 2.95

(8)
AsP2Au | PBE-GGA | optimized geometry

**SG**: Pm, No. 6
**Energy of formation**: 0.062 eV per atom
**Uncorrected energy**: -4.625 eV/atom
**Fermi-level density of states**: 1.00 states/eV/cell
**Size of the total moment**: 0.00 μB per formula unit

Unit cell a=4.3662 b=3.3182 c=5.2252 alpha=90.00 beta=93.33 gamma=90.00
Closest atoms and distances in Å follow each position.
Positions (direct):
Au: 0.4578 0.5000 0.3644  2 P 2.62-2.67, 4 As 2.71-2.78
P: 0.5512 0.5000 0.8646  2 P 2.23
As: 0.9653 0.0000 0.3433  1 P 2.43, 2 Au 2.71
P: 0.8943 0.0000 0.8792  2 P 2.23, 1 As 2.43